No. 1
Compound: Ca2CuPb
Source: Alexandria via LeMat-Bulk
Functional: PBE
Structure: relaxed

```
Ca2CuPb
1.0
3.945 0.000 0.000
0.000 4.669 0.000
0.000 0.000 6.451
Ca Cu Pb
2 1 1
Direct
0.000 0.000 0.000 Ca
0.500 0.500 0.373 Ca
0.000 0.000 0.491 Cu
0.500 0.500 0.854 Pb
```

Calculated values
ΔH_f (0 K) in eV/atom: -0.096
Space group: Pmm2 (25)
DOS at the Fermi energy in states/eV per cell: 1.2

=====

No. 2
Compound: Ca2CuPb
Source: Alexandria via LeMat-Bulk
Functional: PBE
Structure: relaxed

```
Ca2CuPb
1.0
-2.301 2.301 5.047
2.301 -2.301 5.047
2.301 2.301 -5.047
Ca Cu Pb
2 1 1
Direct
0.000 0.000 0.000 Ca
0.750 0.250 0.500 Ca
0.500 0.500 0.000 Cu
0.250 0.750 0.500 Pb
```

Calculated values
ΔH_f (0 K) in eV/atom: -0.128
Space group: I-4m2 (119)
DOS at the Fermi energy in states/eV per cell: 2.8

=====

No. 3
Compound: Ca2CuPb
Source: Alexandria via LeMat-Bulk
Functional: PBE
Structure: relaxed

```
Ca2CuPb
1.0
3.656 0.000 0.000
0.000 3.656 0.000
0.000 0.000 7.902
Ca Cu Pb
2 1 1
Direct
0.000 0.000 0.222 Ca
0.000 0.000 0.778 Ca
0.500 0.500 0.000 Cu
0.500 0.500 0.500 Pb
```

Calculated values
ΔH_f (0 K) in eV/atom: -0.303
Space group: P4/mmm (123)
DOS at the Fermi energy in states/eV per cell: 2.4